Material: ZnAg2P
Method: DFT, SCAN
State: PBEsol geometry Values from VASP.

```
&SYSTEM
  ibrav = 0, nat = 4, ntyp = 3
/
ATOMIC_SPECIES
Zn 65.41 Zn.upf
Ag 107.87 Ag.upf
P 30.97 P.upf
CELL_PARAMETERS angstrom
3.082 0.000 0.000
0.000 3.695 0.000
-0.035 0.000 5.452
ATOMIC_POSITIONS crystal
Zn 0.000 0.000 0.000
Ag 0.009 0.000 0.513
Ag 0.504 0.500 0.239
P 0.518 0.500 0.756
```

Properties
Final energy, eV/atom: -21.471
Relative energy among the computed polymorphs, kJ per mole of atoms: 0.86
Calculated formation energy, eV/atom: 0.1907